First-principles (PBE) data for an optimized crystal structure of LuNpPt2, as listed in the Alexandria database.

For the volume, the calculation gives 333.4 Å³/cell. The distance to the lowest polymorph of the same formula is 0.035 eV/atom. As for the magnetization: 16.2 Bohr magnetons per cell. The energy is -32.76 eV/f.u.

It has space group Fm-3m (No. 225), with a = 6.934 Å, b = 6.934 Å, c = 6.934 Å, α = 90.00°, β = 90.00° and γ = 90.00°. The asymmetric unit holds Lu at (0.000, 0.000, 0.000), Np at (0.000, 0.000, 0.500) and Pt at (0.250, 0.250, 0.250).


First-principles (PBE) data for an optimized crystal structure of LuNpPt4, as listed in the Alexandria database.

For the volume, the calculation gives 449.6 Å³/cell. As for the magnetization: 16.1 Bohr magnetons per cell. The energy is -46.69 eV/f.u.

It has space group F-43m (No. 216), with a = 7.661 Å, b = 7.661 Å, c = 7.661 Å, α = 90.00°, β = 90.00° and γ = 90.00°. The asymmetric unit holds Lu at (0.000, 0.000, 0.000), Np at (0.250, 0.250, 0.250) and Pt at (0.125, 0.125, 0.625).


First-principles (PBE) data for an optimized crystal structure of LuNpPt2, as listed in the Alexandria database.

For the volume, the calculation gives 276.7 Å³/cell. The distance to the lowest polymorph of the same formula is 0.066 eV/atom. As for the magnetization: 10.8 Bohr magnetons per cell. The energy is -32.63 eV/f.u.

It has space group R-3m (No. 166, hexagonal axes), with a = 4.0773 Å, b = 4.0773 Å, c = 19.2176 Å, α = 90.00°, β = 90.00° and γ = 120.00°. The asymmetric unit holds Lu at (0.0000, 0.0000, 0.0000), Np at (0.0000, 0.0000, 0.5000) and Pt at (0.0000, 0.0000, 0.2491).


First-principles (PBE) data for an optimized crystal structure of LuNpPt2, as listed in the Alexandria database.

For the volume, the calculation gives 82.8 Å³/cell. The distance to the lowest polymorph of the same formula is 0.000 eV/atom. As for the magnetization: 4.0 Bohr magnetons per cell. The energy is -32.90 eV/f.u.

It has space group P4/mmm (No. 123), with a = 4.984 Å, b = 4.984 Å, c = 3.333 Å, α = 90.00°, β = 90.00° and γ = 90.00°. The asymmetric unit holds Lu at (0.000, 0.000, 0.000), Np at (0.500, 0.500, 0.000) and Pt at (0.000, 0.500, 0.500).


First-principles (PBE) data for an optimized crystal structure of LuNpRuPt, as listed in the Alexandria database.

For the volume, the calculation gives 315.2 Å³/cell. As for the magnetization: 13.5 Bohr magnetons per cell. The energy is -34.81 eV/f.u.

It has space group F-43m (No. 216), with a = 6.806 Å, b = 6.806 Å, c = 6.806 Å, α = 90.00°, β = 90.00° and γ = 90.00°. The asymmetric unit holds Lu at (0.000, 0.000, 0.000), Np at (0.000, 0.000, 0.500), Ru at (0.250, 0.250, 0.250) and Pt at (0.250, 0.250, 0.750).


First-principles (PBE) data for an optimized crystal structure of LuPuNp, as listed in the Alexandria database.

For the volume, the calculation gives 131.5 Å³/cell. As for the magnetization: 1.2 Bohr magnetons per cell. The energy is -31.10 eV/f.u.

It has space group I4mm (No. 107), with a = 3.382 Å, b = 3.382 Å, c = 11.497 Å, α = 90.00°, β = 90.00° and γ = 90.00°. The asymmetric unit holds Lu at (0.000, 0.000, 0.000), Pu at (0.000, 0.000, 0.287) and Np at (0.000, 0.000, 0.718).


First-principles (PBE) data for an optimized crystal structure of LuNpRh2, as listed in the Alexandria database.

For the volume, the calculation gives 310.7 Å³/cell. The distance to the lowest polymorph of the same formula is 0.020 eV/atom. As for the magnetization: 13.7 Bohr magnetons per cell. The energy is -34.41 eV/f.u.

It has space group Fm-3m (No. 225), with a = 6.773 Å, b = 6.773 Å, c = 6.773 Å, α = 90.00°, β = 90.00° and γ = 90.00°. The asymmetric unit holds Lu at (0.000, 0.000, 0.000), Np at (0.000, 0.000, 0.500) and Rh at (0.250, 0.250, 0.250).


First-principles (PBE) data for an optimized crystal structure of LuNpRh2, as listed in the Alexandria database.

For the volume, the calculation gives 256.8 Å³/cell. The distance to the lowest polymorph of the same formula is 0.158 eV/atom. As for the magnetization: 9.4 Bohr magnetons per cell. The energy is -33.86 eV/f.u.

It has space group R-3m (No. 166, hexagonal axes), with a = 3.9478 Å, b = 3.9478 Å, c = 19.0268 Å, α = 90.00°, β = 90.00° and γ = 120.00°. The asymmetric unit holds Lu at (0.0000, 0.0000, 0.0000), Np at (0.0000, 0.0000, 0.5000) and Rh at (0.0000, 0.0000, 0.2444).